The following is a DFT calculation (PBE-GGA) of a geometry-optimized K3Ca5Br12 structure.

Lattice parameters (Å, degrees): 15.9816 15.9816 15.9816 109.47 109.47 109.47
Closest atoms and distances in Å follow each position.
Fractional coordinates of all 80 atoms:
Br (0.0817, 0.9068, 0.3787)  2 Ca 2.80-2.96
Br (0.7970, 0.3252, 0.9183)  2 Ca 2.80-2.96
Ca (0.3750, 0.1250, 0.7500)  4 Br 2.80
Br (0.4183, 0.1213, 0.5932)  2 Ca 2.80-2.96
Ca (0.5000, 0.5000, 0.0000)  6 Br 2.96
Br (0.8787, 0.5817, 0.9068)  2 Ca 2.80-2.96
Br (0.4718, 0.6748, 0.0932)  2 Ca 2.80-2.96
K (0.2500, 0.1250, 0.3750)  8 Br 3.52-3.66
Br (0.7030, 0.5817, 0.1748)  2 Ca 2.80-2.96
Ca (0.7500, 0.1250, 0.8750)  4 Br 2.80
Br (0.2030, 0.6748, 0.0817)  2 Ca 2.80-2.96
Br (0.0817, 0.1748, 0.2030)  2 Ca 2.80-2.96
Br (0.4718, 0.7970, 0.8787)  2 Ca 2.80-2.96
Br (0.2970, 0.8787, 0.9718)  2 Ca 2.80-2.96
K (0.1250, 0.2500, 0.8750)  8 Br 3.52-3.66
Ca (0.0000, 0.5000, 0.0000)  6 Br 2.96
Br (0.8252, 0.9183, 0.2970)  2 Ca 2.80-2.96
K (0.3750, 0.7500, 0.6250)  8 Br 3.52-3.66
Br (0.3787, 0.4068, 0.0817)  2 Ca 2.80-2.96
K (0.8750, 0.1250, 0.2500)  8 Br 3.52-3.66
Br (0.3252, 0.5282, 0.4068)  2 Ca 2.80-2.96
Ca (0.0000, 0.0000, 0.5000)  6 Br 2.96
Br (0.4183, 0.2970, 0.3252)  2 Ca 2.80-2.96
Ca (0.1250, 0.7500, 0.3750)  4 Br 2.80
K (0.7500, 0.8750, 0.6250)  8 Br 3.52-3.66
Br (0.6748, 0.2030, 0.5817)  2 Ca 2.80-2.96
Br (0.7970, 0.4718, 0.3787)  2 Ca 2.80-2.96
Br (0.5932, 0.6213, 0.4183)  2 Ca 2.80-2.96
Br (0.9183, 0.8252, 0.7970)  2 Ca 2.80-2.96
Br (0.2970, 0.4183, 0.8252)  2 Ca 2.80-2.96
Br (0.9183, 0.0932, 0.6213)  2 Ca 2.80-2.96
Br (0.9068, 0.0817, 0.8787)  2 Ca 2.80-2.96
Br (0.5932, 0.9718, 0.6748)  2 Ca 2.80-2.96
Ca (0.0000, 0.0000, 0.0000)  6 Br 2.96
Br (0.7030, 0.1213, 0.0282)  2 Ca 2.80-2.96
Br (0.6748, 0.4718, 0.5932)  2 Ca 2.80-2.96
K (0.6250, 0.3750, 0.7500)  8 Br 3.52-3.66
Br (0.0282, 0.4068, 0.8252)  2 Ca 2.80-2.96
Br (0.9068, 0.8252, 0.5282)  2 Ca 2.80-2.96
Br (0.1213, 0.7030, 0.5282)  2 Ca 2.80-2.96
K (0.1250, 0.8750, 0.7500)  8 Br 3.52-3.66
Br (0.4068, 0.0282, 0.3252)  2 Ca 2.80-2.96
Br (0.1213, 0.4183, 0.0932)  2 Ca 2.80-2.96
Ca (0.5000, 0.0000, 0.0000)  6 Br 2.96
Br (0.8787, 0.2970, 0.4718)  2 Ca 2.80-2.96
Ca (0.1250, 0.3750, 0.2500)  4 Br 2.80
Br (0.0932, 0.9183, 0.1213)  2 Ca 2.80-2.96
Ca (0.3750, 0.2500, 0.1250)  4 Br 2.80
Br (0.0282, 0.6213, 0.7030)  2 Ca 2.80-2.96
Ca (0.6250, 0.8750, 0.2500)  4 Br 2.80
Ca (0.6250, 0.7500, 0.8750)  4 Br 2.80
Br (0.5282, 0.3252, 0.9068)  2 Ca 2.80-2.96
Br (0.9718, 0.3787, 0.2970)  2 Ca 2.80-2.96
Ca (0.5000, 0.5000, 0.5000)  6 Br 2.96
Br (0.3787, 0.9718, 0.7970)  2 Ca 2.80-2.96
Ca (0.8750, 0.2500, 0.6250)  4 Br 2.80
K (0.2500, 0.6250, 0.8750)  8 Br 3.52-3.66
Br (0.9718, 0.5932, 0.1748)  2 Ca 2.80-2.96
Ca (0.8750, 0.6250, 0.7500)  4 Br 2.80
K (0.7500, 0.3750, 0.1250)  8 Br 3.52-3.66
K (0.3750, 0.6250, 0.2500)  8 Br 3.52-3.66
Br (0.1748, 0.0932, 0.9718)  2 Ca 2.80-2.96
Br (0.1748, 0.0817, 0.7030)  2 Ca 2.80-2.96
Br (0.6213, 0.0282, 0.2030)  2 Ca 2.80-2.96
K (0.8750, 0.7500, 0.1250)  8 Br 3.52-3.66
K (0.6250, 0.2500, 0.3750)  8 Br 3.52-3.66
Br (0.4068, 0.3787, 0.5817)  2 Ca 2.80-2.96
Br (0.6213, 0.5932, 0.9183)  2 Ca 2.80-2.96
Br (0.2030, 0.5282, 0.6213)  2 Ca 2.80-2.96
Ca (0.0000, 0.5000, 0.5000)  6 Br 2.96
Br (0.5817, 0.8787, 0.4068)  2 Ca 2.80-2.96
Br (0.0932, 0.1748, 0.4718)  2 Ca 2.80-2.96
Ca (0.2500, 0.3750, 0.6250)  4 Br 2.80
Br (0.3252, 0.7970, 0.4183)  2 Ca 2.80-2.96
Br (0.8252, 0.9068, 0.0282)  2 Ca 2.80-2.96
Br (0.5817, 0.7030, 0.6748)  2 Ca 2.80-2.96
Ca (0.5000, 0.0000, 0.5000)  6 Br 2.96
Ca (0.7500, 0.6250, 0.3750)  4 Br 2.80
Ca (0.2500, 0.8750, 0.1250)  4 Br 2.80
Br (0.5282, 0.2030, 0.1213)  2 Ca 2.80-2.96

Summary:
Raw formation energy, meV/atom: -1816
SG: No. 230
Total magnetic moment, μB per cell: 0.00

---

The following is a DFT calculation (PBE-GGA) of a geometry-optimized KCaBr structure.

Lattice parameters (Å, degrees): 5.5273 5.5273 5.5273 60.00 60.00 60.00
Closest atoms and distances in Å follow each position.
Fractional coordinates of all 3 atoms:
Ca (0.0000, 0.0000, 0.0000)  4 Br 3.38
K (0.5000, 0.5000, 0.5000)  4 Br 3.38
Br (0.7500, 0.7500, 0.7500)  4 K 3.38, 4 Ca 3.38

Summary:
Raw formation energy, meV/atom: -577
SG: No. 216
Polymorph energy (0 for the lowest one), eV/atom: 0.347
Total magnetic moment, μB per cell: 0.00

---

The following is a DFT calculation (PBE-GGA) of a geometry-optimized KCa2Br2 structure.

Lattice parameters (Å, degrees): 5.3135 5.3135 7.8623 70.25 70.25 90.00
Closest atoms and distances in Å follow each position.
Fractional coordinates of all 5 atoms:
Ca (0.3644, 0.3644, 0.2711)  4 Br 3.09
Ca (0.6356, 0.6356, 0.7289)  4 Br 3.09
K (0.0000, 0.0000, 0.0000)  8 Ca 4.20, 8 Br 4.36
Br (0.7500, 0.2500, 0.5000)  4 Ca 3.09
Br (0.2500, 0.7500, 0.5000)  4 Ca 3.09

Summary:
Raw formation energy, meV/atom: -1050
SG: No. 139
Polymorph energy (0 for the lowest one), eV/atom: 0.000
Total magnetic moment, μB per cell: 0.00

---

The following is a DFT calculation (PBE-GGA) of a geometry-optimized KCa2Br structure.

Lattice parameters (Å, degrees): 7.2461 7.2461 7.2461 138.24 138.24 60.53
Closest atoms and distances in Å follow each position.
Fractional coordinates of all 4 atoms:
Br (0.7500, 0.2500, 0.5000)  8 Ca 3.65-4.06, 4 K 4.06
K (0.5000, 0.5000, 0.0000)  8 Ca 3.65-4.06, 4 Br 4.06
Ca (0.0000, 0.0000, 0.0000)  4 K 3.65, 4 Br 4.06, 4 Ca 4.06
Ca (0.2500, 0.7500, 0.5000)  4 Br 3.65, 4 Ca 4.06, 4 K 4.06

Summary:
Raw formation energy, meV/atom: -302
SG: No. 119
Polymorph energy (0 for the lowest one), eV/atom: 0.383
Total magnetic moment, μB per cell: 0.00

---

The following is a DFT calculation (PBE-GGA) of a geometry-optimized K12Ca3Br5 structure.

Lattice parameters (Å, degrees): 18.5409 18.5409 18.5409 109.47 109.47 109.47
Closest atoms and distances in Å follow each position.
Fractional coordinates of all 80 atoms:
K (0.0195, 0.6098, 0.6986)  2 Br 3.19-3.39
K (0.0888, 0.1791, 0.1986)  2 Br 3.19-3.39
K (0.4097, 0.0195, 0.3209)  2 Br 3.19-3.39
Br (0.5000, 0.0000, 0.0000)  6 K 3.39
K (0.9097, 0.8209, 0.5195)  2 Br 3.19-3.39
K (0.9112, 0.0903, 0.6098)  2 Br 3.19-3.39
K (0.3014, 0.4112, 0.8209)  2 Br 3.19-3.39
Br (0.0000, 0.5000, 0.0000)  6 K 3.39
K (0.4805, 0.6791, 0.0903)  2 Br 3.19-3.39
Ca (0.7500, 0.3750, 0.1250)  8 K 4.26-4.28
K (0.3209, 0.5195, 0.4097)  2 Br 3.19-3.39
Br (0.0000, 0.0000, 0.0000)  6 K 3.39
Br (0.3750, 0.2500, 0.1250)  4 K 3.19
K (0.5903, 0.6098, 0.4112)  2 Br 3.19-3.39
Br (0.0000, 0.5000, 0.5000)  6 K 3.39
Ca (0.6250, 0.2500, 0.3750)  8 K 4.26-4.28
K (0.6791, 0.4805, 0.5903)  2 Br 3.19-3.39
K (0.5903, 0.9805, 0.6791)  2 Br 3.19-3.39
Ca (0.7500, 0.8750, 0.6250)  8 K 4.26-4.28
K (0.6098, 0.5903, 0.9112)  2 Br 3.19-3.39
K (0.5195, 0.3209, 0.9097)  2 Br 3.19-3.39
K (0.5195, 0.1986, 0.1098)  2 Br 3.19-3.39
K (0.4097, 0.3902, 0.5888)  2 Br 3.19-3.39
Br (0.6250, 0.8750, 0.2500)  4 K 3.19
Ca (0.6250, 0.3750, 0.7500)  8 K 4.26-4.28
Br (0.8750, 0.6250, 0.7500)  4 K 3.19
Br (0.7500, 0.1250, 0.8750)  4 K 3.19
K (0.8902, 0.5888, 0.9097)  2 Br 3.19-3.39
K (0.9112, 0.8209, 0.8014)  2 Br 3.19-3.39
K (0.0903, 0.9112, 0.1098)  2 Br 3.19-3.39
K (0.6791, 0.1986, 0.5888)  2 Br 3.19-3.39
Br (0.1250, 0.3750, 0.2500)  4 K 3.19
Ca (0.3750, 0.6250, 0.2500)  8 K 4.26-4.28
Br (0.8750, 0.2500, 0.6250)  4 K 3.19
K (0.6098, 0.0195, 0.1986)  2 Br 3.19-3.39
Br (0.1250, 0.7500, 0.3750)  4 K 3.19
Br (0.5000, 0.0000, 0.5000)  6 K 3.39
K (0.9805, 0.5903, 0.1791)  2 Br 3.19-3.39
Ca (0.2500, 0.6250, 0.8750)  8 K 4.26-4.28
Ca (0.2500, 0.1250, 0.3750)  8 K 4.26-4.28
Br (0.3750, 0.1250, 0.7500)  4 K 3.19
K (0.8014, 0.3209, 0.9112)  2 Br 3.19-3.39
K (0.3902, 0.9805, 0.8014)  2 Br 3.19-3.39
Br (0.2500, 0.3750, 0.6250)  4 K 3.19
K (0.1986, 0.6791, 0.0888)  2 Br 3.19-3.39
K (0.0903, 0.1791, 0.4805)  2 Br 3.19-3.39
K (0.6986, 0.1098, 0.0195)  2 Br 3.19-3.39
K (0.8209, 0.9112, 0.3014)  2 Br 3.19-3.39
K (0.0888, 0.9097, 0.3902)  2 Br 3.19-3.39
Br (0.6250, 0.7500, 0.8750)  4 K 3.19
K (0.8902, 0.3014, 0.4805)  2 Br 3.19-3.39
K (0.8209, 0.9097, 0.0195)  2 Br 3.19-3.39
K (0.3902, 0.4097, 0.0888)  2 Br 3.19-3.39
K (0.8014, 0.4805, 0.3902)  2 Br 3.19-3.39
K (0.1791, 0.0888, 0.6986)  2 Br 3.19-3.39
K (0.4805, 0.8014, 0.8902)  2 Br 3.19-3.39
Br (0.5000, 0.5000, 0.0000)  6 K 3.39
K (0.1791, 0.0903, 0.9805)  2 Br 3.19-3.39
K (0.3209, 0.8014, 0.4112)  2 Br 3.19-3.39
K (0.4112, 0.3014, 0.3209)  2 Br 3.19-3.39
Ca (0.3750, 0.7500, 0.6250)  8 K 4.26-4.28
K (0.3014, 0.8902, 0.9805)  2 Br 3.19-3.39
Br (0.5000, 0.5000, 0.5000)  6 K 3.39
K (0.1986, 0.5195, 0.6098)  2 Br 3.19-3.39
K (0.4112, 0.1098, 0.5903)  2 Br 3.19-3.39
Ca (0.8750, 0.7500, 0.1250)  8 K 4.26-4.28
K (0.9097, 0.0888, 0.8902)  2 Br 3.19-3.39
K (0.5888, 0.6986, 0.6791)  2 Br 3.19-3.39
K (0.0195, 0.4097, 0.8209)  2 Br 3.19-3.39
Ca (0.1250, 0.8750, 0.7500)  8 K 4.26-4.28
Ca (0.8750, 0.1250, 0.2500)  8 K 4.26-4.28
K (0.1098, 0.6986, 0.5195)  2 Br 3.19-3.39
Br (0.7500, 0.6250, 0.3750)  4 K 3.19
K (0.5888, 0.8902, 0.4097)  2 Br 3.19-3.39
K (0.6986, 0.5888, 0.1791)  2 Br 3.19-3.39
K (0.1098, 0.4112, 0.0903)  2 Br 3.19-3.39
Br (0.0000, 0.0000, 0.5000)  6 K 3.39
K (0.9805, 0.3902, 0.3014)  2 Br 3.19-3.39
Ca (0.1250, 0.2500, 0.8750)  8 K 4.26-4.28
Br (0.2500, 0.8750, 0.1250)  4 K 3.19

Summary:
Raw formation energy, meV/atom: -609
SG: No. 230
Total magnetic moment, μB per cell: 3.91

---

The following is a DFT calculation (PBE-GGA) of a geometry-optimized KCa2Br structure.

Lattice parameters (Å, degrees): 7.7311 7.7311 7.7311 142.34 142.34 54.32
Closest atoms and distances in Å follow each position.
Fractional coordinates of all 4 atoms:
Ca (0.5000, 0.5000, 0.0000)  4 Ca 3.53
Br (0.7500, 0.2500, 0.5000)  4 K 3.53
K (0.2500, 0.7500, 0.5000)  4 Br 3.53
Ca (0.0000, 0.0000, 0.0000)  4 Ca 3.53

Summary:
Raw formation energy, meV/atom: -400
SG: No. 139
Polymorph energy (0 for the lowest one), eV/atom: 0.285
Total magnetic moment, μB per cell: 0.00

---

The following is a DFT calculation (PBE-GGA) of a geometry-optimized KCa2Br structure.

Lattice parameters (Å, degrees): 6.9853 6.9853 7.3266 62.43 62.43 32.13
Closest atoms and distances in Å follow each position.
Fractional coordinates of all 4 atoms:
K (0.5597, 0.5597, 0.3864)  3 Br 3.60-3.67, 2 K 3.87
Ca (0.9260, 0.9260, 0.9864)  2 Br 3.16
Ca (0.7187, 0.7187, 0.7561)  2 Br 3.15
Br (0.2957, 0.2957, 0.3711)  4 Ca 3.15-3.16

Summary:
Raw formation energy, meV/atom: -575
SG: No. 8
Polymorph energy (0 for the lowest one), eV/atom: 0.110
Total magnetic moment, μB per cell: 0.00

---

The following is a DFT calculation (PBE-GGA) of a geometry-optimized KCa2Br structure.

Lattice parameters (Å, degrees): 4.9636 4.9636 7.2112 90.00 90.00 90.00
Closest atoms and distances in Å follow each position.
Fractional coordinates of all 4 atoms:
Ca (0.5000, 0.5000, 0.0000)  4 Ca 3.51
Ca (0.0000, 0.0000, 0.0000)  4 Ca 3.51
Br (0.0000, 0.5000, 0.5000)  4 K 3.51
K (0.5000, 0.0000, 0.5000)  4 Br 3.51

Summary:
Raw formation energy, meV/atom: -360
SG: No. 123
Polymorph energy (0 for the lowest one), eV/atom: 0.324
Total magnetic moment, μB per cell: 0.00

---

The following is a DFT calculation (PBE-GGA) of a geometry-optimized K2CaBr4 structure.

Lattice parameters (Å, degrees): 4.5122 8.1925 13.6409 90.00 90.00 90.00
Closest atoms and distances in Å follow each position.
Fractional coordinates of all 14 atoms:
Ca (0.0000, 0.5000, 0.0000)  6 Br 2.88-2.99
K (0.5000, 0.9190, 0.8193)  6 Br 3.29-3.48
Br (0.5000, 0.7264, 0.0468)  2 Ca 2.99
Br (0.5000, 0.2736, 0.9532)  2 Ca 2.99
Br (0.0000, 0.8714, 0.3036)  1 Ca 2.88
Br (0.0000, 0.3714, 0.1964)  1 Ca 2.88
K (0.5000, 0.5810, 0.3193)  6 Br 3.29-3.48
K (0.5000, 0.4190, 0.6807)  6 Br 3.29-3.48
K (0.5000, 0.0810, 0.1807)  6 Br 3.29-3.48
Ca (0.0000, 0.0000, 0.5000)  6 Br 2.88-2.99
Br (0.5000, 0.2264, 0.4532)  2 Ca 2.99
Br (0.5000, 0.7736, 0.5468)  2 Ca 2.99
Br (0.0000, 0.1286, 0.6964)  1 Ca 2.88
Br (0.0000, 0.6286, 0.8036)  1 Ca 2.88

Summary:
Raw formation energy, meV/atom: -1888
SG: No. 55
Total magnetic moment, μB per cell: 0.00